1.
DFT (GGA-PBE) results for a geometry-optimized HfNbW2 structure.

## Properties
energy of formation from the pure elements	18	kJ/mol of formula units
total moment	0.0	Bohr magnetons per cell
space-group type	F-43m (216)

abc: 4.6310 4.6310 4.6310
angles: 60.00 60.00 60.00
Positions (direct):
1 W 0.0000 0.0000 0.0000
2 W 0.7500 0.7500 0.7500
3 Nb 0.5000 0.5000 0.5000
4 Hf 0.2500 0.2500 0.2500

2.
DFT (GGA-PBE) results for a geometry-optimized NbTlAuSeS2 structure.

## Properties
total DFT energy (no corrections)	-5.00	eV per atom
total moment	0.0	Bohr magnetons per cell
space-group type	Cmcm (63)

abc: 7.9693 7.9693 10.0557
angles: 90.00 90.00 154.29
Positions (direct):
1 Se 0.0720 0.9280 0.2500
2 Au 0.4309 0.5691 0.2500
3 S 0.6152 0.3848 0.5240
4 Se 0.9280 0.0720 0.7500
5 S 0.3848 0.6152 0.4760
6 Tl 0.7475 0.2525 0.2500
7 Au 0.5691 0.4309 0.7500
8 Nb 0.0000 0.0000 0.5000
9 Tl 0.2525 0.7475 0.7500
10 S 0.6152 0.3848 0.9760
11 Nb 0.0000 0.0000 0.0000
12 S 0.3848 0.6152 0.0240

3.
DFT (GGA-PBE) results for a geometry-optimized BeCoAgW structure.

## Properties
total moment	0.0	Bohr magnetons per cell
distance to the lowest polymorph of the same formula	0.00	kcal/mol of atoms
space-group type	F-43m (216)

abc: 4.1758 4.1758 4.1758
angles: 60.00 60.00 60.00
Positions (direct):
1 Ag 0.0000 0.0000 0.0000
2 W 0.5000 0.5000 0.5000
3 Co 0.2500 0.2500 0.2500
4 Be 0.7500 0.7500 0.7500

4.
DFT (GGA-PBE) results for a geometry-optimized Na2PdSeO6 structure.

## Properties
total DFT energy (no corrections)	-4.85	eV per atom
space-group type	P2_1/c (14)

abc: 5.2502 5.3113 9.0721
angles: 90.00 124.98 90.00
Positions (direct):
1 O 0.8412 0.3167 0.5512
2 O 0.6316 0.0209 0.2357
3 O 0.1588 0.6833 0.4488
4 Na 0.7641 0.4408 0.2495
5 Se 0.5000 0.5000 0.5000
6 Na 0.2359 0.5592 0.7505
7 O 0.8412 0.1833 0.0512
8 Na 0.2359 0.9408 0.2505
9 O 0.1588 0.8167 0.9488
10 O 0.7359 0.7141 0.0548
11 O 0.2641 0.2859 0.9452
12 Se 0.5000 0.0000 0.0000
13 O 0.6316 0.4791 0.7357
14 O 0.3684 0.5209 0.2643
15 Pd 0.0000 0.0000 0.5000
16 Na 0.7641 0.0592 0.7495
17 O 0.3684 0.9791 0.7643
18 O 0.7359 0.7859 0.5548
19 Pd 0.0000 0.5000 0.0000
20 O 0.2641 0.2141 0.4452

5.
DFT (GGA-PBE) results for a geometry-optimized Al2PtBr4Cl4 structure.

## Properties
total DFT energy (no corrections)	-3.55	eV per atom
total moment	0.0	Bohr magnetons per cell
space-group type	C2/m (12)

abc: 7.4687 7.4687 7.3866
angles: 94.98 94.98 69.05
Positions (direct):
1 Br 0.0872 0.6797 0.8417
2 Cl 0.6158 0.6158 0.7245
3 Cl 0.1889 0.1889 0.6021
4 Al 0.7803 0.7803 0.6736
5 Al 0.2197 0.2197 0.3264
6 Cl 0.8111 0.8111 0.3979
7 Br 0.9128 0.3203 0.1583
8 Pt 0.0000 0.0000 0.0000
9 Br 0.6797 0.0872 0.8417
10 Cl 0.3842 0.3842 0.2755
11 Br 0.3203 0.9128 0.1583

6.
DFT (GGA-PBE) results for a geometry-optimized AcZr structure.

## Properties
energy of formation from the pure elements	57	kJ/mol of formula units
total moment	0.0	Bohr magnetons per cell
distance to the lowest polymorph of the same formula	3.59	kcal/mol of atoms
space-group type	Pmma (51)

abc: 6.5842 3.5936 5.5430
angles: 90.00 90.00 90.00
Positions (direct):
1 Ac 0.4940 0.5000 0.0000
2 Zr 0.2829 0.0000 0.5000
3 Ac 0.8394 0.5000 0.5000
4 Zr 0.0505 0.0000 0.0000

7.
DFT (GGA-PBE) results for a geometry-optimized Ba2CoCuH6 structure.

## Properties
total DFT energy (no corrections)	-3.80	eV per atom
total moment	0.0	Bohr magnetons per cell
space-group type	Fm-3m (225)

abc: 5.5654 5.5654 5.5654
angles: 60.00 60.00 60.00
Positions (direct):
1 H 0.7936 0.2064 0.7936
2 Ba 0.7500 0.7500 0.7500
3 H 0.7936 0.7936 0.2064
4 H 0.2064 0.7936 0.7936
5 H 0.2064 0.2064 0.7936
6 H 0.2064 0.7936 0.2064
7 H 0.7936 0.2064 0.2064
8 Ba 0.2500 0.2500 0.2500
9 Co 0.0000 0.0000 0.0000
10 Cu 0.5000 0.5000 0.5000

8.
DFT (GGA-PBE) results for a geometry-optimized LaSc2 structure.

## Properties
energy of formation from the pure elements	258	kJ/mol of formula units
total moment	1.2	Bohr magnetons per cell
distance to the lowest polymorph of the same formula	19.24	kcal/mol of atoms
space-group type	Fm-3m (225)

abc: 5.0079 5.0079 5.0079
angles: 60.00 60.00 60.00
Each line ends with the local moment (μB).
Positions (direct):
1 La 0.0000 0.0000 0.0000  0.32
2 Sc 0.7500 0.7500 0.7500  0.23
3 Sc 0.2500 0.2500 0.2500  0.23

9.
DFT (GGA-PBE) results for a geometry-optimized MgTl2TcSe6 structure.

## Properties
total DFT energy (no corrections)	-3.88	eV per atom
total moment	0.0	Bohr magnetons per cell
space-group type	Fm-3m (225)

abc: 7.1489 7.1489 7.1489
angles: 60.00 60.00 60.00
Positions (direct):
1 Mg 0.0000 0.0000 0.0000
2 Se 0.2553 0.2553 0.7447
3 Se 0.7447 0.7447 0.2553
4 Se 0.2553 0.7447 0.7447
5 Se 0.7447 0.2553 0.2553
6 Tl 0.7500 0.7500 0.7500
7 Tc 0.5000 0.5000 0.5000
8 Se 0.7447 0.2553 0.7447
9 Se 0.2553 0.7447 0.2553
10 Tl 0.2500 0.2500 0.2500

10.
DFT (GGA-PBE) results for a geometry-optimized Rb5Hg2 structure.

## Properties
total DFT energy (no corrections)	-0.92	eV per atom
space-group type	C2/c (15)

abc: 11.0728 11.0728 9.7826
angles: 97.21 97.21 44.01
Positions (direct):
1 Rb 0.9703 0.2090 0.4255
2 Rb 0.4107 0.5893 0.2500
3 Hg 0.8143 0.4056 0.0816
4 Rb 0.1973 0.3627 0.1828
5 Hg 0.5944 0.1857 0.4184
6 Rb 0.6373 0.8027 0.3172
7 Rb 0.5893 0.4107 0.7500
8 Rb 0.7910 0.0297 0.0745
9 Rb 0.0297 0.7910 0.5745
10 Rb 0.3627 0.1973 0.6828
11 Rb 0.8027 0.6373 0.8172
12 Rb 0.2090 0.9703 0.9255
13 Hg 0.4056 0.8143 0.5816
14 Hg 0.1857 0.5944 0.9184

11.
DFT (GGA-PBE) results for a geometry-optimized Co structure.

## Properties
energy of formation from the pure elements	69	kJ/mol of formula units
total moment	0.0	Bohr magnetons per cell
distance to the lowest polymorph of the same formula	16.54	kcal/mol of atoms
space-group type	R-3m (166)

abc: 2.7022 2.7022 3.7029
angles: 111.40 111.40 60.00
Positions (direct):
1 Co 0.2500 0.2500 0.7499
2 Co 0.7500 0.7500 0.2501

12.
DFT (GGA-PBE) results for a geometry-optimized ZnSiO3 structure.

## Properties
total DFT energy (no corrections)	-6.52	eV per atom
space-group type	C2/c (15)

abc: 5.2952 6.6740 6.6740
angles: 93.71 105.10 74.90
Positions (direct):
1 O 0.1476 0.7924 0.0390
2 Si 0.2341 0.2188 0.6118
3 Si 0.7659 0.7812 0.3882
4 Zn 0.2500 0.7608 0.7608
5 O 0.1257 0.1346 0.3803
6 Si 0.7341 0.3882 0.7812
7 O 0.0226 0.6113 0.3288
8 Si 0.2659 0.6118 0.2188
9 O 0.4774 0.3287 0.6113
10 Zn 0.2500 0.1034 0.1034
11 O 0.6476 0.9610 0.2076
12 Zn 0.7500 0.2392 0.2392
13 O 0.3743 0.3803 0.1346
14 Zn 0.7500 0.8966 0.8966
15 O 0.6257 0.6197 0.8654
16 O 0.8524 0.2076 0.9610
17 O 0.5226 0.6713 0.3887
18 O 0.3524 0.0390 0.7924
19 O 0.8743 0.8654 0.6197
20 O 0.9774 0.3887 0.6713

13.
DFT (GGA-PBE) results for a geometry-optimized Os structure.

## Properties
energy of formation from the pure elements	175	kJ/mol of formula units
total moment	0.0	Bohr magnetons per cell
distance to the lowest polymorph of the same formula	41.79	kcal/mol of atoms
space-group type	P6_3/mmc (194)

abc: 4.1349 4.1348 4.9722
angles: 90.00 90.00 120.00
Positions (direct):
1 Os 0.6667 0.3333 0.7500
2 Os 0.3333 0.6667 0.2500
3 Os 0.0000 0.0000 0.2500
4 Os 0.0000 0.0000 0.7500

14.
DFT (GGA-PBE) results for a geometry-optimized BaAlIr structure.

## Properties
total DFT energy (no corrections)	-4.72	eV per atom
total moment	0.0	Bohr magnetons per cell
space-group type	F-43m (216)

abc: 4.8714 4.8714 4.8714
angles: 60.00 60.00 60.00
Positions (direct):
1 Ba 0.7500 0.7500 0.7500
2 Al 0.2500 0.2500 0.2500
3 Ir 0.0000 0.0000 0.0000

15.
DFT (GGA-PBE) results for a geometry-optimized H24PtN8Cl2 structure.

## Properties
total DFT energy (no corrections)	-4.92	eV per atom
total moment	0.0	Bohr magnetons per cell
space-group type	P2_1/c (14)

abc: 7.4009 9.9140 10.2284
angles: 90.00 124.80 90.00
Positions (direct):
1 H 0.2845 0.3490 0.5264
2 H 0.3382 0.3269 0.9278
3 N 0.9120 0.3289 0.0663
4 N 0.7127 0.6742 0.1889
5 N 0.8089 0.9297 0.0406
6 N 0.7127 0.8258 0.6889
7 H 0.3996 0.0328 0.7417
8 H 0.9531 0.7265 0.8411
9 H 0.1763 0.7353 0.0299
10 H 0.7836 0.0046 0.9625
11 Cl 0.6339 0.1584 0.7295
12 N 0.0880 0.6711 0.9337
13 H 0.2869 0.0747 0.2831
14 H 0.7544 0.5158 0.6842
15 H 0.0295 0.0999 0.8992
16 H 0.4110 0.2802 0.8098
17 N 0.9120 0.1711 0.5663
18 N 0.0880 0.8289 0.4337
19 H 0.8121 0.1486 0.6037
20 H 0.7131 0.5747 0.2169
21 H 0.0295 0.4001 0.3992
22 H 0.7155 0.6510 0.4736
23 N 0.1911 0.4297 0.4594
24 H 0.2164 0.9954 0.0375
25 H 0.0469 0.2735 0.1589
26 N 0.2873 0.3258 0.8111
27 H 0.1879 0.6486 0.8963
28 H 0.6004 0.5328 0.7583
29 N 0.7286 0.0203 0.2693
30 Cl 0.3661 0.6584 0.7705
31 H 0.2164 0.5046 0.5375
32 H 0.7836 0.4954 0.4625
33 H 0.2869 0.4253 0.7831
34 N 0.8089 0.5703 0.5406
35 H 0.9705 0.9001 0.1008
36 Pt 0.0000 0.5000 0.0000
37 N 0.1911 0.0703 0.9594
38 Pt 0.0000 0.0000 0.5000
39 H 0.7544 0.9842 0.1842
40 H 0.6618 0.6731 0.0722
41 H 0.8121 0.3514 0.1037
42 H 0.1763 0.7647 0.5299
43 H 0.7131 0.9253 0.7169
44 N 0.2714 0.9797 0.7307
45 H 0.2456 0.0158 0.8158
46 N 0.2873 0.1742 0.3111
47 N 0.7286 0.4797 0.7693
48 H 0.3382 0.1731 0.4278
49 H 0.6618 0.8269 0.5722
50 Cl 0.6339 0.3416 0.2295
51 H 0.2845 0.1510 0.0264
52 H 0.3174 0.6202 0.2571
53 H 0.1879 0.8514 0.3963
54 H 0.7155 0.8490 0.9736
55 H 0.2456 0.4842 0.3158
56 H 0.4110 0.2198 0.3098
57 H 0.3174 0.8798 0.7571
58 H 0.3996 0.4672 0.2417
59 H 0.0469 0.2265 0.6589
60 Cl 0.3661 0.8416 0.2705
61 H 0.5890 0.7802 0.6902
62 H 0.8237 0.2353 0.4701
63 H 0.8237 0.2647 0.9701
64 H 0.9705 0.5999 0.6008
65 H 0.6004 0.9672 0.2583
66 H 0.5890 0.7198 0.1902
67 H 0.9531 0.7735 0.3411
68 H 0.6826 0.3798 0.7429
69 N 0.2714 0.5203 0.2307
70 H 0.6826 0.1202 0.2429

16.
DFT (GGA-PBE) results for a geometry-optimized RbUTa structure.

## Properties
total DFT energy (no corrections)	-5.49	eV per atom
total moment	4.2	Bohr magnetons per cell
space-group type	F-43m (216)

abc: 5.0590 5.0590 5.0590
angles: 60.00 60.00 60.00
Positions (direct):
1 U 0.0000 0.0000 0.0000
2 Rb 0.2500 0.2500 0.2500
3 Ta 0.7500 0.7500 0.7500

17.
DFT (GGA-PBE) results for a geometry-optimized TbDy2In3Ni2Ag structure.

## Properties
total DFT energy (no corrections)	-4.47	eV per atom
total moment	0.0	Bohr magnetons per cell
space-group type	Amm2 (38)

abc: 3.8968 7.5712 7.5712
angles: 120.01 90.00 90.00
Positions (direct):
1 Tb 0.0000 0.4123 0.4123
2 In 0.5000 0.9995 0.2713
3 Dy 0.0000 0.0003 0.5879
4 Ag 0.0000 0.9997 0.9997
5 Dy 0.0000 0.5879 0.0003
6 Ni 0.5000 0.6671 0.3330
7 In 0.5000 0.7290 0.7290
8 In 0.5000 0.2713 0.9995
9 Ni 0.5000 0.3330 0.6671

18.
DFT (GGA-PBE) results for a geometry-optimized Dy2Tm2BI5 structure.

## Properties
total DFT energy (no corrections)	-4.32	eV per atom
total moment	0.0	Bohr magnetons per cell
space-group type	C2/m (12)

abc: 9.9426 9.9426 8.6116
angles: 102.00 102.00 23.40
Positions (direct):
1 Dy 0.0004 0.0004 0.8039
2 I 0.8366 0.8366 0.6665
3 B 0.5000 0.5000 0.0000
4 I 0.5000 0.5000 0.5000
5 Tm 0.6289 0.6289 0.0640
6 I 0.1634 0.1634 0.3335
7 Tm 0.3711 0.3711 0.9360
8 Dy 0.9996 0.9996 0.1961
9 I 0.1673 0.1673 0.8289
10 I 0.8327 0.8327 0.1711

19.
DFT (GGA-PBE) results for a geometry-optimized Na2Zr2Al2PdPt structure.

## Properties
total DFT energy (no corrections)	-5.20	eV per atom
total moment	0.0	Bohr magnetons per cell
space-group type	P-4m2 (115)

abc: 4.6237 4.6237 6.5413
angles: 90.00 90.00 90.00
Positions (direct):
1 Pd 0.0000 0.0000 0.0000
2 Zr 0.5000 0.0000 0.7499
3 Na 0.0000 0.0000 0.5000
4 Pt 0.5000 0.5000 0.5000
5 Al 0.5000 0.0000 0.2502
6 Al 0.0000 0.5000 0.7498
7 Zr 0.0000 0.5000 0.2501
8 Na 0.5000 0.5000 0.0000

20.
DFT (GGA-PBE) results for a geometry-optimized Tb3ScPb2C2 structure.

## Properties
total DFT energy (no corrections)	-6.24	eV per atom
total moment	0.0	Bohr magnetons per cell
space-group type	P3m1 (156)

abc: 3.5901 3.5901 16.0042
angles: 90.00 90.00 120.00
Positions (direct):
1 Tb 0.6667 0.3333 0.0764
2 Pb 0.6667 0.3333 0.7593
3 Tb 0.0000 0.0000 0.5871
4 Sc 0.0000 0.0000 0.9187
5 C 0.3333 0.6667 0.5023
6 Pb 0.0000 0.0000 0.2468
7 C 0.3333 0.6667 0.9919
8 Tb 0.6667 0.3333 0.4176